First-principles (SCAN) data for KAuSe4 at its PBEsol-relaxed geometry, as listed in Alexandria via LeMat-Bulk.

```
6
Lattice="0.0000 4.0671 4.0671 4.0671 0.0000 4.0671 4.0671 4.0671 0.0000" Properties=species:S:1:pos:R:3 pbc="T T T"
K 0.0000 0.0000 0.0000
Au 2.0335 2.0335 2.0335
Se 5.0703 3.0638 3.0638
Se 3.0638 5.0703 3.0638
Se 3.0638 3.0638 5.0703
Se 5.0703 5.0703 5.0703
```

ΔE_f (raw), eV/atom: 0.2009
Symmetry: F-43m
Density of states at the Fermi level, states/eV per cell: 4.945